Record 1
Computed, not measured: Ti2VMo4 after structural relaxation at the PBE level of DFT.

Output
Volume ... 16.95 A^3/atom
Calculated formation energy ... 0.27 eV per atom
Electronic total energy ... -66.35 eV/cell

a = 4.475 Å, b = 4.277 Å, c = 6.198 Å
α = 90.00°, β = 90.17°, γ = 90.00°
Space group Pm (No. 6)
One atom of each set of equivalent atoms:
Ti: 0.000 0.000 0.000
Ti: 0.500 0.000 0.271
V: 0.500 0.500 0.530
Mo: 0.000 0.000 0.521
Mo: 0.000 0.500 0.277
Mo: 0.499 0.500 0.017
Mo: 0.500 0.000 0.762

---

Record 2
Computed, not measured: TiV5Mo4 after structural relaxation at the PBE level of DFT.

Output
Volume ... 14.68 A^3/atom
Calculated formation energy ... -0.09 eV per atom
Electronic total energy ... -97.70 eV/cell

a = 3.079 Å, b = 3.079 Å, c = 15.490 Å
α = 90.00°, β = 90.00°, γ = 90.00°
Space group P4/mmm (No. 123)
One atom of each set of equivalent atoms:
Ti: 0.000 0.000 0.000
V: 0.500 0.500 0.108
V: 0.500 0.500 0.302
V: 0.500 0.500 0.500
Mo: 0.000 0.000 0.201
Mo: 0.000 0.000 0.401

---

Record 3
Computed, not measured: Ti2V4Mo after structural relaxation at the PBE level of DFT.

Output
Volume ... 15.01 A^3/atom
Calculated formation energy ... 0.21 eV per atom
Electronic total energy ... -123.32 eV/cell

a = 13.769 Å, b = 2.556 Å, c = 6.821 Å
α = 90.00°, β = 118.88°, γ = 90.00°
Space group C2/m (No. 12)
One atom of each set of equivalent atoms:
Ti: 0.222 0.000 0.152
V: 0.068 0.000 0.702
V: 0.141 0.500 0.424
Mo: 0.000 0.000 0.000

---

| no. | density of states at the Fermi level (states/eV/atom) |
| --- | --- |
| 1 | 1.489 |
| 2 | 1.274 |
| 3 | 1.657 |